(1)
VASP calculation (PBE) on a relaxed MoRuRh3 crystal.

Calculated values
**Density of states at the Fermi level**: 7.30 states/eV per cell
**Calculated formation energy**: 1.14 eV per atom
**Density**: 8.6 Mg/m³
**Uncorrected energy**: -36.46 eV/cell
**Spin magnetization**: 2.95 Bohr magnetons per cell

Unit cell a=5.0490 b=5.0490 c=5.0490 alpha=63.23 beta=63.23 gamma=63.23
Sites, in units of the cell vectors:
1 Mo 0.0000 0.0000 0.0000
2 Ru 0.5000 0.5000 0.5000
3 Rh 0.0000 0.5000 0.5000
4 Rh 0.5000 0.0000 0.5000
5 Rh 0.5000 0.5000 0.0000

***

(2)
VASP calculation (PBE) on a relaxed Dy2HoIn crystal.

Calculated values
**Density of states at the Fermi level**: 4.57 states/eV per cell
**Calculated formation energy**: -0.23 eV per atom
**Density**: 8.6 Mg/m³
**Uncorrected energy**: -17.43 eV/cell
**Spin magnetization**: 0.00 Bohr magnetons per cell

Unit cell a=3.5670 b=3.5670 c=9.2138 alpha=90.00 beta=90.00 gamma=90.00
Sites, in units of the cell vectors:
1 Dy 0.0000 0.0000 0.2283
2 Dy 0.0000 0.0000 0.7717
3 Ho 0.5000 0.5000 0.5000
4 In 0.5000 0.5000 0.0000

***

(3)
VASP calculation (PBE) on a relaxed Sc2InAu2 crystal.

Calculated values
**Density of states at the Fermi level**: 2.40 states/eV per cell
**Calculated formation energy**: -0.43 eV per atom
**Density**: 8.4 Mg/m³
**Uncorrected energy**: -24.12 eV/cell
**Spin magnetization**: 0.00 Bohr magnetons per cell

Unit cell a=6.4381 b=6.4381 c=6.4381 alpha=138.11 beta=138.11 gamma=60.74
Sites, in units of the cell vectors:
1 Sc 0.2500 0.7500 0.5000
2 Sc 0.7500 0.2500 0.5000
3 In 0.0000 0.0000 0.0000
4 Au 0.3807 0.3807 0.0000
5 Au 0.6193 0.6193 0.0000

***

(4)
VASP calculation (PBE) on a relaxed BiSb2PdI crystal.

Calculated values
**Density of states at the Fermi level**: 6.86 states/eV per cell
**E_form (uncorrected)**: 0.309 eV/atom
**Density**: 7.5 Mg/m³
**Uncorrected energy**: -17.32 eV/cell
**Spin magnetization**: 0.00 Bohr magnetons per cell

Unit cell a=5.3011 b=5.3011 c=5.3907 alpha=90.00 beta=90.00 gamma=90.00
Sites, in units of the cell vectors:
1 Bi 0.0000 0.0000 0.0000
2 Sb 0.0000 0.5000 0.5000
3 Sb 0.5000 0.0000 0.5000
4 Pd 0.5000 0.5000 0.5000
5 I 0.5000 0.5000 0.0000

***

(5)
VASP calculation (PBE) on a relaxed Y3CoMo crystal.

Calculated values
**Density of states at the Fermi level**: 5.95 states/eV per cell
**Calculated formation energy**: 0.53 eV per atom
**Density**: 5.2 Mg/m³
**Uncorrected energy**: -34.70 eV/cell
**Spin magnetization**: 3.02 Bohr magnetons per cell

Unit cell a=5.1257 b=5.1257 c=5.1257 alpha=90.00 beta=90.00 gamma=90.00
Sites, in units of the cell vectors:
1 Y 0.0000 0.0000 0.5000
2 Y 0.0000 0.5000 0.0000
3 Y 0.5000 0.0000 0.0000
4 Co 0.0000 0.0000 0.0000
5 Mo 0.5000 0.5000 0.5000

***

(6)
VASP calculation (PBE) on a relaxed NaAc2PO5 crystal.

Calculated values
**Density of states at the Fermi level**: 3.62 states/eV per cell
**E_form (uncorrected)**: -2.291 eV/atom
**Density**: 6.7 Mg/m³
**Uncorrected energy**: -120.72 eV/cell
**Spin magnetization**: 3.96 Bohr magnetons per cell

Unit cell a=7.2863 b=7.2863 c=5.4524 alpha=90.00 beta=90.00 gamma=90.00
Sites, in units of the cell vectors:
1 Na 0.0000 0.0000 0.0000
2 Na 0.5000 0.5000 0.0000
3 Ac 0.1840 0.3160 0.5000
4 Ac 0.3160 0.8160 0.5000
5 Ac 0.6840 0.1840 0.5000
6 Ac 0.8160 0.6840 0.5000
7 P 0.0000 0.5000 0.0000
8 P 0.5000 0.0000 0.0000
9 O 0.0000 0.0000 0.5000
10 O 0.1200 0.6200 0.2295
11 O 0.1200 0.6200 0.7705
12 O 0.3800 0.1200 0.2295
13 O 0.3800 0.1200 0.7705
14 O 0.5000 0.5000 0.5000
15 O 0.6200 0.8800 0.2295
16 O 0.6200 0.8800 0.7705
17 O 0.8800 0.3800 0.2295
18 O 0.8800 0.3800 0.7705

***

(7)
VASP calculation (PBE) on a relaxed Pr3Ga2Ir2 crystal.

Calculated values
**Density of states at the Fermi level**: 14.92 states/eV per cell
**Calculated formation energy**: -0.70 eV per atom
**Density**: 9.6 Mg/m³
**Uncorrected energy**: -172.18 eV/cell
**Spin magnetization**: 0.00 Bohr magnetons per cell

Unit cell a=5.7746 b=8.1249 c=13.9063 alpha=90.00 beta=90.00 gamma=90.00
Sites, in units of the cell vectors:
1 Pr 0.1258 0.2429 0.2500
2 Pr 0.1258 0.2571 0.7500
3 Pr 0.3534 0.6021 0.0989
4 Pr 0.3534 0.6021 0.4011
5 Pr 0.3534 0.8979 0.5989
6 Pr 0.3534 0.8979 0.9011
7 Pr 0.6466 0.1021 0.0989
8 Pr 0.6466 0.1021 0.4011
9 Pr 0.6466 0.3979 0.5989
10 Pr 0.6466 0.3979 0.9011
11 Pr 0.8742 0.7429 0.2500
12 Pr 0.8742 0.7571 0.7500
13 Ga 0.1220 0.2500 0.0000
14 Ga 0.1220 0.2500 0.5000
15 Ga 0.3652 0.6043 0.7500
16 Ga 0.3652 0.8957 0.2500
17 Ga 0.6348 0.1043 0.7500
18 Ga 0.6348 0.3957 0.2500
19 Ga 0.8780 0.7500 0.0000
20 Ga 0.8780 0.7500 0.5000
21 Ir 0.1457 0.5306 0.5917
22 Ir 0.1457 0.5306 0.9083
23 Ir 0.1457 0.9694 0.0917
24 Ir 0.1457 0.9694 0.4083
25 Ir 0.8543 0.0306 0.5917
26 Ir 0.8543 0.0306 0.9083
27 Ir 0.8543 0.4694 0.0917
28 Ir 0.8543 0.4694 0.4083

***

(8)
VASP calculation (PBE) on a relaxed Tm2Th3Sc5 crystal.

Calculated values
**Density of states at the Fermi level**: 31.88 states/eV per cell
**Calculated formation energy**: 0.05 eV per atom
**Density**: 7.5 Mg/m³
**Uncorrected energy**: -124.69 eV/cell
**Spin magnetization**: 0.00 Bohr magnetons per cell

Unit cell a=8.9744 b=9.0096 c=9.0221 alpha=115.13 beta=106.43 gamma=106.82
Sites, in units of the cell vectors:
1 Tm 0.0480 0.0708 0.2237
2 Tm 0.4465 0.6834 0.0238
3 Tm 0.5535 0.3166 0.9762
4 Tm 0.9520 0.9292 0.7763
5 Th 0.1534 0.2300 0.6767
6 Th 0.2522 0.3818 0.1298
7 Th 0.2549 0.8709 0.6250
8 Th 0.7451 0.1291 0.3750
9 Th 0.7478 0.6182 0.8702
10 Th 0.8466 0.7700 0.3233
11 Sc 0.0442 0.5730 0.7196
12 Sc 0.1467 0.7214 0.1770
13 Sc 0.3471 0.0283 0.0731
14 Sc 0.3519 0.5265 0.5736
15 Sc 0.4483 0.1705 0.5202
16 Sc 0.5517 0.8295 0.4798
17 Sc 0.6481 0.4735 0.4264
18 Sc 0.6529 0.9717 0.9269
19 Sc 0.8533 0.2786 0.8230
20 Sc 0.9558 0.4270 0.2804

***

(9)
VASP calculation (PBE) on a relaxed AsPb2W crystal.

Calculated values
**Density of states at the Fermi level**: 4.14 states/eV per cell
**Calculated formation energy**: 1.30 eV per atom
**Density**: 8.3 Mg/m³
**Uncorrected energy**: -39.67 eV/cell
**Spin magnetization**: 3.41 Bohr magnetons per cell

Unit cell a=7.9172 b=7.9172 c=7.9172 alpha=131.96 beta=131.96 gamma=70.30
Sites, in units of the cell vectors:
1 As 0.0000 0.0000 0.0000
2 As 0.7500 0.2500 0.5000
3 Pb 0.1350 0.6250 0.0100
4 Pb 0.3750 0.3850 0.5100
5 Pb 0.6150 0.1250 0.9900
6 Pb 0.8750 0.8650 0.4900
7 W 0.2500 0.7500 0.5000
8 W 0.5000 0.5000 0.0000

***

(10)
VASP calculation (PBE) on a relaxed KPb2Au crystal.

Calculated values
**Density of states at the Fermi level**: 1.24 states/eV per cell
**Calculated formation energy**: -0.14 eV per atom
**Density**: 8.6 Mg/m³
**Uncorrected energy**: -12.34 eV/cell
**Spin magnetization**: 0.00 Bohr magnetons per cell

Unit cell a=3.8240 b=4.8069 c=7.0425 alpha=90.00 beta=103.47 gamma=90.00
Sites, in units of the cell vectors:
1 K 0.0000 0.0000 0.0000
2 Pb 0.3255 0.5000 0.6912
3 Pb 0.6745 0.5000 0.3088
4 Au 0.5000 0.0000 0.5000

***

(11)
VASP calculation (PBE) on a relaxed La2MgZrO crystal.

Calculated values
**Density of states at the Fermi level**: 5.76 states/eV per cell
**E_form (uncorrected)**: -1.102 eV/atom
**Density**: 5.6 Mg/m³
**Uncorrected energy**: -30.47 eV/cell
**Spin magnetization**: 0.23 Bohr magnetons per cell

Unit cell a=5.2783 b=5.2783 c=4.3477 alpha=90.00 beta=90.00 gamma=90.00
Sites, in units of the cell vectors:
1 La 0.0000 0.5000 0.0000
2 La 0.5000 0.0000 0.0000
3 Mg 0.0000 0.0000 0.5000
4 Zr 0.5000 0.5000 0.5000
5 O 0.5000 0.5000 0.0000

***

(12)
VASP calculation (PBE) on a relaxed DyHoI crystal.

Calculated values
**Density of states at the Fermi level**: 3.92 states/eV per cell
**E_form (uncorrected)**: -0.505 eV/atom
**Density**: 8.0 Mg/m³
**Uncorrected energy**: -12.25 eV/cell
**Spin magnetization**: 0.18 Bohr magnetons per cell

Unit cell a=3.8142 b=3.8142 c=7.5220 alpha=90.00 beta=90.00 gamma=120.00
Sites, in units of the cell vectors:
1 Dy 0.0000 0.0000 0.0000
2 Ho 0.6667 0.3333 0.3472
3 I 0.3333 0.6667 0.6732

***

(13)
VASP calculation (PBE) on a relaxed Eu2CdH crystal.

Calculated values
**Density of states at the Fermi level**: 2.99 states/eV per cell
**Density**: 7.3 Mg/m³
**Uncorrected energy**: -25.30 eV/cell
**Spin magnetization**: 14.75 Bohr magnetons per cell

Unit cell a=3.4415 b=3.4415 c=8.0555 alpha=90.00 beta=90.00 gamma=90.00
Sites, in units of the cell vectors:
1 Eu 0.0000 0.0000 0.2090
2 Eu 0.0000 0.0000 0.7910
3 Cd 0.5000 0.5000 0.5000
4 H 0.5000 0.5000 0.0000

***

(14)
VASP calculation (PBE) on a relaxed Ho3Er3Tc2Ag crystal.

Calculated values
**Density of states at the Fermi level**: 8.52 states/eV per cell
**Calculated formation energy**: -0.03 eV per atom
**Density**: 9.9 Mg/m³
**Uncorrected energy**: -51.23 eV/cell
**Spin magnetization**: 0.00 Bohr magnetons per cell

Unit cell a=8.0903 b=8.0903 c=3.8659 alpha=90.00 beta=90.00 gamma=120.00
Sites, in units of the cell vectors:
1 Ho 0.0000 0.7210 0.0000
2 Ho 0.2790 0.2790 0.0000
3 Ho 0.7210 0.0000 0.0000
4 Er 0.0000 0.4016 0.5000
5 Er 0.4016 0.0000 0.5000
6 Er 0.5984 0.5984 0.5000
7 Tc 0.3333 0.6667 0.0000
8 Tc 0.6667 0.3333 0.0000
9 Ag 0.0000 0.0000 0.5000

***

(15)
VASP calculation (PBE) on a relaxed LaSi2NiRh crystal.

Calculated values
**Density of states at the Fermi level**: 5.45 states/eV per cell
**E_form (uncorrected)**: -0.884 eV/atom
**Density**: 6.9 Mg/m³
**Uncorrected energy**: -33.33 eV/cell
**Spin magnetization**: 0.00 Bohr magnetons per cell

Unit cell a=5.8314 b=5.8314 c=5.8314 alpha=138.60 beta=138.60 gamma=59.99
Sites, in units of the cell vectors:
1 La 0.0000 0.0000 0.0000
2 Si 0.3719 0.3719 0.0000
3 Si 0.6281 0.6281 0.0000
4 Ni 0.2500 0.7500 0.5000
5 Rh 0.7500 0.2500 0.5000

***

(16)
VASP calculation (PBE) on a relaxed SmYTlCd crystal.

Calculated values
**Density of states at the Fermi level**: 4.45 states/eV per cell
**Calculated formation energy**: -0.37 eV per atom
**Density**: 8.4 Mg/m³
**Uncorrected energy**: -15.93 eV/cell
**Spin magnetization**: 0.25 Bohr magnetons per cell

Unit cell a=5.3854 b=5.3854 c=5.3854 alpha=60.00 beta=60.00 gamma=60.00
Sites, in units of the cell vectors:
1 Sm 0.0000 0.0000 0.0000
2 Y 0.5000 0.5000 0.5000
3 Tl 0.2500 0.2500 0.2500
4 Cd 0.7500 0.7500 0.7500

***

(17)
VASP calculation (PBE) on a relaxed CeDy6Ho5 crystal.

Calculated values
**Density of states at the Fermi level**: 18.63 states/eV per cell
**Calculated formation energy**: 0.04 eV per atom
**Density**: 8.6 Mg/m³
**Uncorrected energy**: -55.99 eV/cell
**Spin magnetization**: 1.09 Bohr magnetons per cell

Unit cell a=9.3496 b=9.3496 c=9.3496 alpha=149.00 beta=115.35 gamma=73.43
Sites, in units of the cell vectors:
1 Ce 0.0000 0.0000 0.0000
2 Dy 0.0842 0.8345 0.2497
3 Dy 0.2487 0.5000 0.7487
4 Dy 0.4152 0.1655 0.2497
5 Dy 0.5848 0.8345 0.7503
6 Dy 0.7513 0.5000 0.2513
7 Dy 0.9158 0.1655 0.7503
8 Ho 0.1665 0.6665 0.5000
9 Ho 0.3327 0.3327 0.0000
10 Ho 0.5000 0.0000 0.5000
11 Ho 0.6673 0.6673 0.0000
12 Ho 0.8335 0.3335 0.5000

***

(18)
VASP calculation (PBE) on a relaxed PRu crystal.

Calculated values
**Density of states at the Fermi level**: 6.16 states/eV per cell
**Calculated formation energy**: -0.32 eV per atom
**Density**: 5.7 Mg/m³
**Uncorrected energy**: -91.97 eV/cell
**Spin magnetization**: 0.00 Bohr magnetons per cell

Unit cell a=9.3206 b=9.3206 c=3.0618 alpha=90.00 beta=90.00 gamma=120.00
Sites, in units of the cell vectors:
1 P 0.0821 0.3809 0.2500
2 P 0.2988 0.9179 0.2500
3 P 0.3809 0.2988 0.7500
4 P 0.6191 0.7012 0.2500
5 P 0.7012 0.0821 0.7500
6 P 0.9179 0.6191 0.7500
7 Ru 0.1086 0.6465 0.2500
8 Ru 0.3535 0.4621 0.2500
9 Ru 0.4621 0.1086 0.7500
10 Ru 0.5379 0.8914 0.2500
11 Ru 0.6465 0.5379 0.7500
12 Ru 0.8914 0.3535 0.7500

***

(19)
VASP calculation (PBE) on a relaxed TaIn2Cl crystal.

Calculated values
**Density of states at the Fermi level**: 2.06 states/eV per cell
**E_form (uncorrected)**: 0.402 eV/atom
**Density**: 8.5 Mg/m³
**Uncorrected energy**: -17.57 eV/cell
**Spin magnetization**: 0.78 Bohr magnetons per cell

Unit cell a=3.0571 b=5.2651 c=5.4168 alpha=90.00 beta=90.00 gamma=90.00
Sites, in units of the cell vectors:
1 Ta 0.0000 0.0000 0.0000
2 In 0.0000 0.5000 0.5000
3 In 0.5000 0.0000 0.5000
4 Cl 0.5000 0.5000 0.0000

***

(20)
VASP calculation (PBE) on a relaxed Dy2PuRu crystal.

Calculated values
**Density of states at the Fermi level**: 15.84 states/eV per cell
**Calculated formation energy**: -0.21 eV per atom
**Density**: 10.7 Mg/m³
**Uncorrected energy**: -67.33 eV/cell
**Spin magnetization**: 12.08 Bohr magnetons per cell

Unit cell a=6.2467 b=6.2467 c=9.2710 alpha=90.00 beta=90.00 gamma=144.95
Sites, in units of the cell vectors:
1 Dy 0.1413 0.8587 0.5678
2 Dy 0.1413 0.8587 0.9322
3 Dy 0.8587 0.1413 0.0678
4 Dy 0.8587 0.1413 0.4322
5 Pu 0.4224 0.5776 0.7500
6 Pu 0.5776 0.4224 0.2500
7 Ru 0.2320 0.7680 0.2500
8 Ru 0.7680 0.2320 0.7500

***

(21)
VASP calculation (PBE) on a relaxed TlInAgPd crystal.

Calculated values
**Density of states at the Fermi level**: 2.05 states/eV per cell
**Calculated formation energy**: -0.05 eV per atom
**Density**: 10.9 Mg/m³
**Uncorrected energy**: -13.34 eV/cell
**Spin magnetization**: 0.00 Bohr magnetons per cell

Unit cell a=4.8572 b=4.8572 c=4.8572 alpha=60.00 beta=60.00 gamma=60.00
Sites, in units of the cell vectors:
1 Tl 0.0000 0.0000 0.0000
2 In 0.5000 0.5000 0.5000
3 Ag 0.2500 0.2500 0.2500
4 Pd 0.7500 0.7500 0.7500

***

(22)
VASP calculation (PBE) on a relaxed Nd4GaAg2Hg crystal.

Calculated values
**Density of states at the Fermi level**: 8.40 states/eV per cell
**Calculated formation energy**: -0.38 eV per atom
**Density**: 8.3 Mg/m³
**Uncorrected energy**: -31.17 eV/cell
**Spin magnetization**: 0.78 Bohr magnetons per cell

Unit cell a=9.2418 b=9.2418 c=9.2418 alpha=33.44 beta=33.44 gamma=33.44
Sites, in units of the cell vectors:
1 Nd 0.1221 0.1221 0.1221
2 Nd 0.3724 0.3724 0.3724
3 Nd 0.6276 0.6276 0.6276
4 Nd 0.8779 0.8779 0.8779
5 Ga 0.0000 0.0000 0.0000
6 Ag 0.2481 0.2481 0.2481
7 Ag 0.7519 0.7519 0.7519
8 Hg 0.5000 0.5000 0.5000

***

(23)
VASP calculation (PBE) on a relaxed NdSmScCd crystal.

Calculated values
**Density of states at the Fermi level**: 4.18 states/eV per cell
**Calculated formation energy**: -0.12 eV per atom
**Density**: 6.6 Mg/m³
**Uncorrected energy**: -17.23 eV/cell
**Spin magnetization**: 0.00 Bohr magnetons per cell

Unit cell a=3.5679 b=3.5679 c=8.9423 alpha=90.00 beta=90.00 gamma=90.00
Sites, in units of the cell vectors:
1 Nd 0.0000 0.0000 0.0000
2 Sm 0.5000 0.5000 0.7033
3 Sc 0.0000 0.0000 0.4444
4 Cd 0.5000 0.5000 0.2535

***

(24)
VASP calculation (PBE) on a relaxed KUP2O8 crystal.

Calculated values
**E_form (uncorrected)**: -2.560 eV/atom
**Density**: 3.6 Mg/m³
**Uncorrected energy**: -93.59 eV/cell
**Spin magnetization**: 1.00 Bohr magnetons per cell

Unit cell a=5.4793 b=5.4793 c=8.2326 alpha=90.00 beta=90.00 gamma=120.00
Sites, in units of the cell vectors:
1 K 0.0000 0.0000 0.0000
2 U 0.0000 0.0000 0.5000
3 P 0.3333 0.6667 0.2675
4 P 0.6667 0.3333 0.7325
5 O 0.1808 0.3616 0.3435
6 O 0.1808 0.8192 0.3435
7 O 0.3333 0.6667 0.0867
8 O 0.3616 0.1808 0.6565
9 O 0.6384 0.8192 0.3435
10 O 0.6667 0.3333 0.9133
11 O 0.8192 0.1808 0.6565
12 O 0.8192 0.6384 0.6565